The following is a DFT calculation (GGA-PBE) of an optimized crystal structure of Er3TmPt.

```
Er3TmPt
1.0
6.3115 0.0000 0.0000
0.0000 5.0695 0.0000
-1.1391 0.0000 8.6250
Er Tm Pt
6 2 2
direct
0.1756 0.2500 0.0197
0.2149 0.2500 0.4419
0.2742 0.7500 0.7645
0.7258 0.2500 0.2355
0.7851 0.7500 0.5581
0.8244 0.7500 0.9803
0.3872 0.7500 0.2114
0.6128 0.2500 0.7886
0.0313 0.2500 0.7099
0.9687 0.7500 0.2901
```

**E**: -53.32 eV for the cell shown
**Energy of formation from the pure elements**: -0.492 eV per atom
**Space group**: No. 11

=====

The following is a DFT calculation (GGA-PBE) of an optimized crystal structure of ErTmPt4.

```
ErTmPt4
1.0
0.0000 3.8270 3.8270
3.8270 0.0000 3.8270
3.8270 3.8270 0.0000
Er Tm Pt
1 1 4
direct
0.0000 0.0000 0.0000
0.7500 0.7500 0.7500
0.3751 0.3751 0.3751
0.3751 0.3751 0.8748
0.3751 0.8748 0.3751
0.8748 0.3751 0.3751
```

**E**: -39.96 eV for the cell shown
**Energy of formation from the pure elements**: -1.127 eV per atom
**Energy above the most stable polymorph in this dataset**: 0.000 eV per formula unit
**Space group**: No. 216

=====

The following is a DFT calculation (GGA-PBE) of an optimized crystal structure of ErTm3Pt2.

```
ErTm3Pt2
1.0
3.7904 2.1884 6.3288
-3.7904 2.1884 6.3288
0.0000 -4.3768 6.3288
Er Tm Pt
2 6 4
direct
0.0000 0.0000 0.0000
0.5000 0.5000 0.5000
0.0171 0.7500 0.4829
0.2500 0.5171 0.9829
0.4829 0.0171 0.7500
0.5171 0.9829 0.2500
0.7500 0.4829 0.0171
0.9829 0.2500 0.5171
0.1432 0.1432 0.1432
0.3568 0.3568 0.3568
0.6432 0.6432 0.6432
0.8568 0.8568 0.8568
```

**E**: -67.78 eV for the cell shown
**Energy of formation from the pure elements**: -0.639 eV per atom
**Energy above the most stable polymorph in this dataset**: 2.176 eV per formula unit
**Space group**: No. 167

=====

The following is a DFT calculation (GGA-PBE) of an optimized crystal structure of Er3Tm3Pt2.

```
Er3Tm3Pt2
1.0
1.8672 -6.5247 0.0000
1.8672 6.5247 0.0000
0.0000 0.0000 18.2016
Er Tm Pt
6 6 4
direct
0.0580 0.9420 0.5860
0.0580 0.9420 0.9140
0.2823 0.7177 0.7500
0.7177 0.2823 0.2500
0.9420 0.0580 0.0860
0.9420 0.0580 0.4140
0.3288 0.6712 0.5574
0.3288 0.6712 0.9426
0.4406 0.5594 0.2500
0.5594 0.4406 0.7500
0.6712 0.3288 0.0574
0.6712 0.3288 0.4426
0.2924 0.7076 0.1355
0.2924 0.7076 0.3645
0.7076 0.2924 0.6355
0.7076 0.2924 0.8645
```

**E**: -88.37 eV for the cell shown
**Energy of formation from the pure elements**: -0.625 eV per atom
**Space group**: No. 63

=====

The following is a DFT calculation (GGA-PBE) of an optimized crystal structure of ErTmPt4.

```
ErTmPt4
1.0
4.1469 0.0000 0.0000
0.0000 6.9391 0.0000
0.0000 0.0000 8.3001
Er Tm Pt
2 2 8
direct
0.0000 0.0000 0.0000
0.5000 0.5000 0.5000
0.0000 0.5000 0.8870
0.5000 0.0000 0.3870
0.0000 0.2116 0.5975
0.0000 0.2866 0.2909
0.0000 0.7134 0.2909
0.0000 0.7884 0.5975
0.5000 0.2134 0.7909
0.5000 0.2884 0.0975
0.5000 0.7116 0.0975
0.5000 0.7866 0.7909
```

**E**: -78.72 eV for the cell shown
**Energy of formation from the pure elements**: -1.027 eV per atom
**Energy above the most stable polymorph in this dataset**: 0.602 eV per formula unit
**Space group**: No. 44

=====

The following is a DFT calculation (GGA-PBE) of an optimized crystal structure of Er2Tm3Pt2.

```
Er2Tm3Pt2
1.0
12.1038 0.0000 0.0000
0.0000 3.7150 0.0000
-3.9629 0.0000 8.0050
Er Tm Pt
4 6 4
direct
0.1630 0.0000 0.3121
0.3370 0.5000 0.6879
0.6630 0.5000 0.3121
0.8370 0.0000 0.6879
0.0000 0.5000 0.5000
0.1148 0.5000 0.9356
0.3852 0.0000 0.0644
0.5000 0.0000 0.5000
0.6148 0.0000 0.9356
0.8852 0.5000 0.0644
0.1742 0.0000 0.7376
0.3258 0.5000 0.2624
0.6742 0.5000 0.7376
0.8258 0.0000 0.2624
```

**E**: -80.80 eV for the cell shown
**Energy of formation from the pure elements**: -0.825 eV per atom
**Space group**: No. 12